# MgMn2Pt (PBE-GGA, optimized geometry)
# Total magnetization (μB per atom): 0.35
data_MgMn2Pt
_chemical_formula_sum 'Mg1 Mn2 Pt1'
_cell_length_a 2.9490
_cell_length_b 2.9490
_cell_length_c 6.6853
_cell_angle_alpha 90.00
_cell_angle_beta 90.00
_cell_angle_gamma 90.00
_space_group_name_H-M_alt 'P 4 m m'
_space_group_IT_number 99
loop_
_space_group_symop_operation_xyz
'x,y,z'
'-y,x,z'
'-x,-y,z'
'y,-x,z'
'-x,y,z'
'y,x,z'
'x,-y,z'
'-y,-x,z'
loop_
_atom_site_label
_atom_site_type_symbol
_atom_site_fract_x
_atom_site_fract_y
_atom_site_fract_z
Mg1 Mg 0.0000 0.0000 0.0000
Mn1 Mn 0.0000 0.0000 0.4717
Mn2 Mn 0.5000 0.5000 0.2825
Pt1 Pt 0.5000 0.5000 0.7282


# CaAuC (PBE-GGA, optimized geometry)
# Total magnetization (μB per atom): 0.00
data_CaAuC
_chemical_formula_sum 'Ca4 Au4 C4'
_cell_length_a 8.7166
_cell_length_b 4.0799
_cell_length_c 7.6741
_cell_angle_alpha 90.00
_cell_angle_beta 116.66
_cell_angle_gamma 90.00
_space_group_name_H-M_alt 'C 1 2/m 1'
_space_group_IT_number 12
loop_
_space_group_symop_operation_xyz
'x,y,z'
'-x,-y,-z'
'-x,y,-z'
'x,-y,z'
'x+1/2,y+1/2,z'
'-x+1/2,-y+1/2,-z'
'-x+1/2,y+1/2,-z'
'x+1/2,-y+1/2,z'
loop_
_atom_site_label
_atom_site_type_symbol
_atom_site_fract_x
_atom_site_fract_y
_atom_site_fract_z
Ca1 Ca 0.0809 0.0000 0.2932
Au1 Au 0.1692 0.5000 0.0450
C1 C 0.0791 0.5000 0.5202


Number 1: energy of formation from the pure elements -178 meV per atom. Number 2: energy of formation from the pure elements -248 meV per atom.